1.
Ca3Dy2ScTe6 | GGA-PBE | optimized geometry

Calculated values
As for the mass density: 5.800 g/cm³. Its space group is C2/m. The calculation puts the spin magnetization at 0.001 μB per formula unit. As for the energy relative to the elements, uncorrected: -1415 meV per atom. The total energy comes out at -4.781 eV/atom.

Cell: 4.3600 8.8505 9.8733 Å, 104.25 102.76 90.00°
Fractional positions:
Te  0.3322  0.4195  0.6643
Te  0.0001  0.2370  0.0001
Te  0.9999  0.7630  0.9999
Dy  0.8344  0.6686  0.6688
Te  0.6679  0.5805  0.3357
Te  0.3385  0.9172  0.6769
Sc  0.5000  0.0000  0.0000
Te  0.6615  0.0828  0.3231
Ca  0.8316  0.1659  0.6632
Dy  0.1656  0.3314  0.3312
Ca  0.1684  0.8341  0.3368
Ca  0.5000  0.5000  0.0000



2.
Ca3Dy3ScTe8 | GGA-PBE | optimized geometry

Calculated values
As for the mass density: 5.767 g/cm³. Its space group is R-3m. The calculation puts the spin magnetization at 0.000 μB per formula unit. As for the energy relative to the elements, uncorrected: -1452 meV per atom. The total energy comes out at -4.871 eV/atom.

Cell: 8.7051 8.7065 8.8976 Å, 119.30 90.00 119.99°
Fractional positions:
Dy  0.5000  0.0000  0.5000
Te  0.7483  0.4966  0.7449
Dy  0.5000  0.5000  0.5000
Te  0.7573  0.5146  0.2626
Ca  0.0000  0.0000  0.0000
Te  0.2517  0.5034  0.2551
Ca  0.0000  0.5000  0.0000
Dy  0.0000  0.5000  0.5000
Te  0.7578  0.0052  0.2626
Sc  0.0000  0.0000  0.5000
Te  0.2422  0.9948  0.7374
Te  0.2474  0.0052  0.2626
Ca  0.5000  0.5000  0.0000
Te  0.2427  0.4854  0.7374
Te  0.7526  0.9948  0.7374



3.
Ca2DyScTe4 | GGA-PBE | optimized geometry

Calculated values
As for the mass density: 5.583 g/cm³. Its space group is P2/m. The calculation puts the spin magnetization at 0.000 μB per formula unit. As for the energy relative to the elements, uncorrected: -1397 meV per atom. The total energy comes out at -4.835 eV/atom.

Cell: 4.3474 7.5193 7.6846 Å, 109.13 90.00 90.00°
Fractional positions:
Te  0.5000  0.7612  0.7640
Te  0.0000  0.7538  0.2410
Ca  0.0000  0.5000  0.5000
Dy  0.5000  0.5000  0.0000
Ca  0.5000  0.0000  0.5000
Te  0.0000  0.2462  0.7590
Sc  0.0000  0.0000  0.0000
Te  0.5000  0.2388  0.2360



4.
CaDy4Se6 | GGA-PBE | optimized geometry

Calculated values
As for the mass density: 6.786 g/cm³. Its space group is Cmcm. The calculation puts the spin magnetization at 0.000 μB per formula unit. As for the energy relative to the elements, uncorrected: -1860 meV per atom. The total energy comes out at -5.616 eV/atom.

Cell: 4.0542 7.0111 20.9316 Å, 90.00 90.00 106.81°
Fractional positions:
Dy  0.8612  0.7224  0.5397
Dy  0.1388  0.2776  0.0397
Se  0.7701  0.5402  0.4123
Ca  0.3414  0.6828  0.7500
Se  0.5000  0.0000  0.5000
Se  0.9521  0.9041  0.6637
Se  0.9521  0.9041  0.8363
Se  0.2299  0.4598  0.5877
Dy  0.4085  0.8170  0.1297
Dy  0.4085  0.8170  0.3703
Ca  0.6586  0.3172  0.2500
Se  0.0479  0.0959  0.3363
Se  0.3150  0.6301  0.2500
Se  0.5000  0.0000  0.0000
Se  0.6850  0.3699  0.7500
Dy  0.5915  0.1830  0.8703
Dy  0.5915  0.1830  0.6297
Se  0.0479  0.0959  0.1637
Se  0.2299  0.4598  0.9123
Dy  0.8612  0.7224  0.9603
Dy  0.1388  0.2776  0.4603
Se  0.7701  0.5402  0.0877



5.
Ca2DySe4 | GGA-PBE | optimized geometry

Calculated values
As for the mass density: 4.847 g/cm³. Its space group is Cmcm. The calculation puts the spin magnetization at 0.000 μB per formula unit. As for the energy relative to the elements, uncorrected: -1665 meV per atom. The total energy comes out at -4.885 eV/atom.

Cell: 3.9873 7.3807 13.5048 Å, 90.00 90.00 105.67°
Fractional positions:
Se  0.9806  0.9613  0.7500
Se  0.2222  0.4444  0.6260
Dy  0.6241  0.2482  0.7500
Dy  0.3759  0.7518  0.2500
Ca  0.1315  0.2630  0.0706
Se  0.7778  0.5556  0.3740
Ca  0.8685  0.7370  0.9294
Se  0.5000  0.0000  0.5000
Se  0.7778  0.5556  0.1260
Se  0.0194  0.0387  0.2500
Ca  0.1315  0.2630  0.4294
Se  0.2222  0.4444  0.8740
Ca  0.8685  0.7370  0.5706
Se  0.5000  0.0000  0.0000



6.
Ca6DySe8 | GGA-PBE | optimized geometry

Calculated values
As for the mass density: 4.095 g/cm³. Its space group is Fm-3m. The calculation puts the spin magnetization at 0.000 μB per formula unit. As for the energy relative to the elements, uncorrected: -1877 meV per atom. The total energy comes out at -4.843 eV/atom.

Cell: 8.4029 8.4029 8.4029 Å, 60.00 60.00 60.00°
Fractional positions:
Ca  0.0000  0.5000  0.0000
Se  0.7583  0.7583  0.2417
Ca  0.0000  0.0000  0.5000
Ca  0.5000  0.5000  0.0000
Se  0.7583  0.2417  0.2417
Se  0.2500  0.2500  0.2500
Se  0.7500  0.7500  0.7500
Se  0.2417  0.2417  0.7583
Dy  0.0000  0.0000  0.0000
Ca  0.5000  0.0000  0.5000
Se  0.7583  0.2417  0.7583
Se  0.2417  0.7583  0.7583
Ca  0.5000  0.0000  0.0000
Se  0.2417  0.7583  0.2417
Ca  0.0000  0.5000  0.5000



7.
Ca2DySe3 | GGA-PBE | optimized geometry

Calculated values
For the energy relative to the lowest polymorph listed for this composition, the calculation gives 0.0000 eV per atom. As for the mass density: 5.239 g/cm³. Its space group is Fddd. The calculation puts the spin magnetization at 0.000 μB per formula unit. As for the energy relative to the elements, uncorrected: -1920 meV per atom. The total energy comes out at -5.097 eV/atom.

Cell: 7.1974 7.1974 13.1187 Å, 100.56 100.56 109.39°
Fractional positions:
Se  0.0839  0.0790  0.6684
Se  0.0048  0.5048  0.5000
Se  0.7548  0.7548  0.0000
Se  0.4952  0.9952  0.5000
Ca  0.9995  0.4995  0.9990
Se  0.5845  0.5894  0.6684
Ca  0.5829  0.5829  0.1657
Dy  0.9169  0.9169  0.8338
Ca  0.8329  0.3329  0.6657
Se  0.4106  0.4155  0.3316
Se  0.1661  0.6710  0.8316
Ca  0.7495  0.7495  0.4990
Se  0.9210  0.9161  0.3316
Se  0.2452  0.2452  0.0000
Dy  0.1669  0.6669  0.3338
Se  0.3290  0.8339  0.1684
Ca  0.2505  0.2505  0.5010
Dy  0.3331  0.8331  0.6662
Ca  0.5005  0.0005  0.0010
Se  0.8394  0.3345  0.1684
Dy  0.0831  0.0831  0.1662
Ca  0.6671  0.1671  0.3343
Se  0.6655  0.1606  0.8316
Ca  0.4171  0.4171  0.8343



8.
Ca3Dy5Se8 | GGA-PBE | optimized geometry

Calculated values
As for the mass density: 6.598 g/cm³. Its space group is R-3m. The calculation puts the spin magnetization at 0.000 μB per formula unit. As for the energy relative to the elements, uncorrected: -1839 meV per atom. The total energy comes out at -5.394 eV/atom.

Cell: 8.2026 8.2026 8.2512 Å, 60.19 60.19 60.00°
Fractional positions:
Se  0.2499  0.2499  0.7520
Se  0.7481  0.2499  0.7520
Ca  0.0000  0.0000  0.5000
Dy  0.5000  0.5000  0.5000
Se  0.2519  0.7501  0.2480
Dy  0.0000  0.0000  0.0000
Se  0.2499  0.7481  0.7520
Ca  0.5000  0.0000  0.5000
Dy  0.5000  0.0000  0.0000
Se  0.2515  0.2515  0.2456
Se  0.7485  0.7485  0.7544
Se  0.7501  0.2519  0.2480
Ca  0.0000  0.5000  0.5000
Dy  0.0000  0.5000  0.0000
Se  0.7501  0.7501  0.2480
Dy  0.5000  0.5000  0.0000



9.
Ca2Dy3Se6 | GGA-PBE | optimized geometry

Calculated values
As for the mass density: 5.781 g/cm³. Its space group is C2/m. The calculation puts the spin magnetization at 0.000 μB per formula unit. As for the energy relative to the elements, uncorrected: -1932 meV per atom. The total energy comes out at -5.451 eV/atom.

Cell: 7.1034 7.0993 7.2462 Å, 80.62 71.00 59.98°
Fractional positions:
Dy  0.6653  0.6695  0.0000
Dy  0.0000  0.0000  0.0000
Se  0.4132  0.6651  0.7595
Se  0.7485  0.0000  0.7578
Ca  0.1671  0.6657  0.5000
Se  0.5868  0.3349  0.2405
Ca  0.8329  0.3343  0.5000
Se  0.9217  0.6651  0.2405
Se  0.0783  0.3349  0.7595
Dy  0.3347  0.3305  0.0000
Se  0.2515  0.0000  0.2422



10.
Ca2DySe3 | GGA-PBE | optimized geometry

Calculated values
For the energy relative to the lowest polymorph listed for this composition, the calculation gives 0.0051 eV per atom. As for the mass density: 5.241 g/cm³. Its space group is Immm. The calculation puts the spin magnetization at 0.000 μB per formula unit. As for the energy relative to the elements, uncorrected: -1915 meV per atom. The total energy comes out at -5.092 eV/atom.

Cell: 4.1415 5.8737 7.2059 Å, 114.05 106.70 90.00°
Fractional positions:
Dy  0.5000  0.5000  0.5000
Ca  0.8319  0.8319  0.1638
Se  0.5000  0.0000  0.5000
Se  0.1629  0.6629  0.8259
Se  0.8371  0.3371  0.1741
Ca  0.1681  0.1681  0.8362



11.
CaDy4Se5 | GGA-PBE | optimized geometry

Calculated values
As for the mass density: 7.417 g/cm³. Its space group is C2/m. The calculation puts the spin magnetization at 0.000 μB per formula unit. As for the energy relative to the elements, uncorrected: -1802 meV per atom. The total energy comes out at -5.585 eV/atom.

Cell: 4.0760 7.1241 9.1565 Å, 74.99 77.14 73.38°
Fractional positions:
Se  0.3960  0.3060  0.9021
Dy  0.1962  0.3972  0.2103
Dy  0.8038  0.6028  0.7897
Dy  0.4026  0.7906  0.4042
Se  0.8024  0.0936  0.3016
Dy  0.5974  0.2094  0.5958
Ca  0.0000  0.0000  0.0000
Se  0.0000  0.5000  0.5000
Se  0.6040  0.6940  0.0979
Se  0.1976  0.9064  0.6984



12.
CaDy2Se | GGA-PBE | optimized geometry

Calculated values
As for the mass density: 5.687 g/cm³. Its space group is R-3m. The calculation puts the spin magnetization at 0.000 μB per formula unit. As for the energy relative to the elements, uncorrected: -625 meV per atom. The total energy comes out at -4.298 eV/atom.

Cell: 3.7967 3.7967 10.6138 Å, 79.70 79.70 60.00°
Fractional positions:
Ca  0.0000  0.0000  0.0000
Dy  0.8898  0.8898  0.3306
Dy  0.1102  0.1102  0.6694
Se  0.5000  0.5000  0.5000



13.
Ca3DySe4 | GGA-PBE | optimized geometry

Calculated values
As for the mass density: 4.858 g/cm³. Its space group is Cmmm. The calculation puts the spin magnetization at 0.000 μB per formula unit. As for the energy relative to the elements, uncorrected: -1946 meV per atom. The total energy comes out at -5.014 eV/atom.

Cell: 4.1560 7.2234 7.2234 Å, 109.35 90.00 90.00°
Fractional positions:
Se  0.0000  0.7549  0.7549
Dy  0.5000  0.0000  0.0000
Ca  0.5000  0.5000  0.5000
Ca  0.0000  0.0000  0.5000
Se  0.0000  0.2451  0.2451
Se  0.5000  0.2469  0.7531
Se  0.5000  0.7531  0.2469
Ca  0.0000  0.5000  0.0000



14.
CaSm2DySe4 | GGA-PBE | optimized geometry

Calculated values
As for the mass density: 6.730 g/cm³. Its space group is P2/m. The calculation puts the spin magnetization at 0.000 μB per formula unit. As for the energy relative to the elements, uncorrected: -1840 meV per atom. The total energy comes out at -5.587 eV/atom.

Cell: 4.1247 7.1738 7.2264 Å, 109.05 90.00 90.00°
Fractional positions:
Se  0.5000  0.2498  0.2436
Se  0.0000  0.7465  0.2417
Ca  0.0000  0.0000  0.0000
Sm  0.0000  0.5000  0.5000
Sm  0.5000  0.0000  0.5000
Se  0.0000  0.2535  0.7583
Dy  0.5000  0.5000  0.0000
Se  0.5000  0.7502  0.7564



15.
Ca3Sm2DySe6 | GGA-PBE | optimized geometry

Calculated values
As for the mass density: 5.716 g/cm³. Its space group is C2/m. The calculation puts the spin magnetization at 0.000 μB per formula unit. As for the energy relative to the elements, uncorrected: -1890 meV per atom. The total energy comes out at -5.303 eV/atom.

Cell: 7.1713 7.1713 7.2968 Å, 99.46 99.46 119.94°
Fractional positions:
Se  0.0831  0.4113  0.2499
Se  0.4113  0.0831  0.2499
Se  0.5887  0.9169  0.7501
Sm  0.6661  0.3339  0.0000
Sm  0.3339  0.6661  0.0000
Ca  0.5000  0.5000  0.5000
Se  0.2441  0.2441  0.7492
Se  0.7559  0.7559  0.2508
Se  0.9169  0.5887  0.7501
Ca  0.8318  0.1682  0.5000
Dy  0.0000  0.0000  0.0000
Ca  0.1682  0.8318  0.5000



16.
Ca4Sm3DySe8 | GGA-PBE | optimized geometry

Calculated values
As for the mass density: 5.684 g/cm³. Its space group is R-3m. The calculation puts the spin magnetization at 0.000 μB per formula unit. As for the energy relative to the elements, uncorrected: -1892 meV per atom. The total energy comes out at -5.308 eV/atom.

Cell: 8.2825 8.4046 8.2830 Å, 119.53 120.00 90.00°
Fractional positions:
Se  0.7543  0.7500  0.0022
Ca  0.0000  0.0000  0.5000
Sm  0.5000  0.5000  0.5000
Se  0.7511  0.7533  0.5023
Sm  0.0000  0.5000  0.5000
Se  0.7521  0.2500  0.9978
Se  0.2457  0.2500  0.9978
Se  0.2489  0.2467  0.4977
Ca  0.0000  0.0000  0.0000
Dy  0.0000  0.5000  0.0000
Sm  0.5000  0.5000  0.0000
Se  0.2479  0.7500  0.0022
Se  0.7521  0.2499  0.5042
Ca  0.5000  0.0000  0.0000
Ca  0.5000  0.0000  0.5000
Se  0.2479  0.7501  0.4958



17.
CaSmDy2Se4 | GGA-PBE | optimized geometry

Calculated values
As for the mass density: 6.951 g/cm³. Its space group is P2/m. The calculation puts the spin magnetization at 0.000 μB per formula unit. As for the energy relative to the elements, uncorrected: -1825 meV per atom. The total energy comes out at -5.558 eV/atom.

Cell: 4.1045 7.1437 7.1676 Å, 70.89 90.00 90.00°
Fractional positions:
Dy  0.0000  0.0000  0.0000
Se  0.5000  0.7555  0.2504
Dy  0.5000  0.0000  0.5000
Se  0.0000  0.7563  0.7446
Ca  0.0000  0.5000  0.5000
Se  0.5000  0.2445  0.7496
Sm  0.5000  0.5000  0.0000
Se  0.0000  0.2437  0.2554



18.
Ca4SmDy3Se8 | GGA-PBE | optimized geometry

Calculated values
As for the mass density: 5.894 g/cm³. Its space group is R-3m. The calculation puts the spin magnetization at 0.000 μB per formula unit. As for the energy relative to the elements, uncorrected: -1879 meV per atom. The total energy comes out at -5.280 eV/atom.

Cell: 8.2347 8.3459 8.2348 Å, 119.56 120.00 90.00°
Fractional positions:
Se  0.7486  0.2522  0.4972
Se  0.2514  0.7478  0.5028
Ca  0.5000  0.0000  0.0000
Ca  0.0000  0.0000  0.0000
Se  0.2517  0.2551  0.5035
Ca  0.5000  0.0000  0.5000
Se  0.2514  0.7479  0.9965
Sm  0.0000  0.5000  0.0000
Dy  0.5000  0.5000  0.5000
Se  0.7486  0.2521  0.0035
Se  0.2549  0.2521  0.0035
Se  0.7451  0.7479  0.9965
Se  0.7483  0.7449  0.4965
Dy  0.5000  0.5000  0.0000
Ca  0.0000  0.0000  0.5000
Dy  0.0000  0.5000  0.5000



19.
Ca3Sm4DySe8 | GGA-PBE | optimized geometry

Calculated values
As for the mass density: 6.156 g/cm³. Its space group is R-3m. The calculation puts the spin magnetization at 0.000 μB per formula unit. As for the energy relative to the elements, uncorrected: -1868 meV per atom. The total energy comes out at -5.453 eV/atom.

Cell: 8.2910 8.3712 8.2911 Å, 119.68 120.00 90.00°
Fractional positions:
Ca  0.5000  0.5000  0.5000
Se  0.2501  0.2562  0.0032
Se  0.2510  0.2529  0.5021
Se  0.2471  0.7439  0.4941
Se  0.7490  0.7471  0.4979
Se  0.2470  0.7438  0.9968
Sm  0.5000  0.0000  0.0000
Ca  0.0000  0.5000  0.5000
Se  0.7530  0.2562  0.0032
Se  0.7529  0.2561  0.5059
Dy  0.0000  0.5000  0.0000
Sm  0.5000  0.0000  0.5000
Sm  0.0000  0.0000  0.5000
Se  0.7499  0.7438  0.9968
Ca  0.5000  0.5000  0.0000
Sm  0.0000  0.0000  0.0000



20.
CaSm2Dy3Se6 | GGA-PBE | optimized geometry

Calculated values
As for the mass density: 7.249 g/cm³. Its space group is C2/m. The calculation puts the spin magnetization at 0.000 μB per formula unit. As for the energy relative to the elements, uncorrected: -1819 meV per atom. The total energy comes out at -5.665 eV/atom.

Cell: 4.1059 8.2994 9.2326 Å, 103.14 102.85 90.00°
Fractional positions:
Se  0.9990  0.2514  0.9979
Se  0.0010  0.7486  0.0021
Se  0.6662  0.0765  0.3324
Dy  0.1689  0.8289  0.3378
Dy  0.8311  0.1711  0.6622
Sm  0.1713  0.3419  0.3426
Se  0.6622  0.5879  0.3244
Se  0.3338  0.9235  0.6676
Dy  0.5000  0.5000  0.0000
Se  0.3378  0.4121  0.6756
Sm  0.8287  0.6581  0.6574
Ca  0.5000  0.0000  0.0000